The following is a DFT calculation (PBE) of an optimized crystal structure of Er8Al2Cd.

Computed properties:
- polymorph energy (0 for the lowest one) (meV per atom) = 0
- calculated volume (Å³ per cell) = 302.9
- uncorrected energy (eV/atom) = -4.23
- space group = C2/m, No. 12

POSCAR file:
```
Er8Al2Cd
1.0
-0.106 -4.593 2.026
5.609 -1.867 -3.941
3.414 5.517 6.463
Al Er Cd
2 8 1
Direct
0.193 0.710 0.387
0.807 0.290 0.613
0.974 0.245 0.948
0.334 0.052 0.668
0.404 0.533 0.809
0.596 0.467 0.191
0.805 0.713 0.611
0.666 0.948 0.332
0.195 0.287 0.389
0.026 0.755 0.052
0.500 0.000 0.000
```

---

The following is a DFT calculation (PBE) of an optimized crystal structure of Er2AlCd2.

Computed properties:
- calculated volume (Å³ per cell) = 117.7
- uncorrected energy (eV/atom) = -3.22
- space group = Cmmm, No. 65

POSCAR file:
```
Er2AlCd2
1.0
-3.228 -0.127 0.917
-0.045 -4.637 -0.801
2.030 -3.556 6.655
Cd Al Er
2 1 2
Direct
0.000 0.803 0.394
0.000 0.197 0.606
0.000 0.000 0.000
0.500 0.392 0.215
0.500 0.608 0.785
```

---

The following is a DFT calculation (PBE) of an optimized crystal structure of Er8Al2Cd.

Computed properties:
- polymorph energy (0 for the lowest one) (meV per atom) = 24
- calculated volume (Å³ per cell) = 298.4
- uncorrected energy (eV/atom) = -4.21
- space group = Immm, No. 71

POSCAR file:
```
Er8Al2Cd
1.0
-3.620 -2.696 -2.092
5.479 -6.093 -1.628
-2.373 1.397 8.222
Er Al Cd
8 2 1
Direct
0.659 0.446 0.319
0.145 0.145 0.289
0.000 0.314 0.000
0.341 0.554 0.681
0.659 0.872 0.319
0.341 0.128 0.681
0.000 0.686 0.000
0.855 0.855 0.711
0.195 0.695 0.391
0.805 0.305 0.609
0.500 0.000 0.000
```

---

no.,E_form (eV per atom)
1,-0.1527
2,-0.2801
3,-0.1286